No. 1
{
  "formula": "Ca2MoP",
  "functional": "meta-GGA SCAN",
  "state": "PBEsol geometry",
  "cell": [[3.7960, 0.0000, 0.0000], [0.0000, 3.7960, 0.0000], [0.0000, 0.0000, 5.4803]],
  "species": ["Ca", "Ca", "Mo", "P"],
  "frac_coords": [[0.0000, 0.0000, 0.2389], [0.0000, 0.0000, 0.7611], [0.5000, 0.5000, 0.5000], [0.5000, 0.5000, 0.0000]],
  "volume_a3_per_atom": 19.742,
  "formation_enthalpy_0k_ev_per_atom": 0.1585,
  "space_group": "P4/mmm"
}


No. 2
{
  "formula": "LiTi8O16",
  "functional": "meta-GGA SCAN",
  "state": "PBEsol geometry",
  "cell": [[5.8971, -4.9261, 0.0000], [5.8971, 4.9261, 0.0000], [0.0000, 0.0000, 9.5212]],
  "species": ["Li", "Li", "Ti", "Ti", "Ti", "Ti", "Ti", "Ti", "Ti", "Ti", "Ti", "Ti", "Ti", "Ti", "Ti", "Ti", "Ti", "Ti", "O", "O", "O", "O", "O", "O", "O", "O", "O", "O", "O", "O", "O", "O", "O", "O", "O", "O", "O", "O", "O", "O", "O", "O", "O", "O", "O", "O", "O", "O", "O", "O"],
  "frac_coords": [[0.1594, 0.8406, 0.5000], [0.8406, 0.1594, 0.0000], [0.0207, 0.2301, 0.6008], [0.0972, 0.4009, 0.3205], [0.1548, 0.8452, 0.8223], [0.2301, 0.0207, 0.1008], [0.2748, 0.4718, 0.5878], [0.3679, 0.6321, 0.3094], [0.4009, 0.0972, 0.8205], [0.4718, 0.2748, 0.0878], [0.5282, 0.7252, 0.5878], [0.5991, 0.9028, 0.3205], [0.6321, 0.3679, 0.8094], [0.7252, 0.5282, 0.0878], [0.7699, 0.9793, 0.6008], [0.8452, 0.1548, 0.3223], [0.9028, 0.5991, 0.8205], [0.9793, 0.7699, 0.1008], [0.0268, 0.9732, 0.9911], [0.0438, 0.4579, 0.6833], [0.0803, 0.1680, 0.2278], [0.1030, 0.6473, 0.9222], [0.1528, 0.6047, 0.4210], [0.1680, 0.0803, 0.7278], [0.2114, 0.7886, 0.1844], [0.2215, 0.2750, 0.4894], [0.2750, 0.2215, 0.9894], [0.2857, 0.7143, 0.6721], [0.3320, 0.4125, 0.2291], [0.3527, 0.8970, 0.9222], [0.3953, 0.8472, 0.4210], [0.4125, 0.3320, 0.7291], [0.4579, 0.0438, 0.1833], [0.4799, 0.5201, 0.4884], [0.5201, 0.4799, 0.9884], [0.5421, 0.9562, 0.6833], [0.5875, 0.6680, 0.2291], [0.6047, 0.1528, 0.9210], [0.6473, 0.1030, 0.4222], [0.6680, 0.5875, 0.7291], [0.7143, 0.2857, 0.1721], [0.7250, 0.7785, 0.4894], [0.7785, 0.7250, 0.9894], [0.7886, 0.2114, 0.6844], [0.8320, 0.9197, 0.2278], [0.8472, 0.3953, 0.9210], [0.8970, 0.3527, 0.4222], [0.9197, 0.8320, 0.7278], [0.9562, 0.5421, 0.1833], [0.9732, 0.0268, 0.4911]],
  "volume_a3_per_atom": 11.064,
  "raw_formation_energy_ev_per_fu": -80.466,
  "space_group": "Cmc2_1"
}


No. 3
{
  "formula": "KCo2SnGe",
  "functional": "meta-GGA SCAN",
  "state": "PBEsol geometry",
  "cell": [[4.4204, 0.0000, 0.0000], [0.0000, 4.4204, 0.0000], [0.0000, 0.0000, 5.6538]],
  "species": ["K", "Co", "Co", "Sn", "Ge"],
  "frac_coords": [[0.0000, 0.0000, 0.0000], [0.0000, 0.5000, 0.0000], [0.5000, 0.0000, 0.0000], [0.0000, 0.0000, 0.5000], [0.5000, 0.5000, 0.5000]],
  "volume_a3_per_atom": 22.095,
  "formation_enthalpy_0k_ev_per_atom": 2.0645,
  "space_group": "P4/mmm"
}


No. 4
{
  "formula": "SrMgFeP2O8",
  "functional": "meta-GGA SCAN",
  "state": "PBEsol geometry",
  "cell": [[5.5475, 0.0000, 0.0000], [-0.8741, 6.4883, 0.0000], [-2.0791, -3.4022, 8.4273]],
  "species": ["Sr", "Sr", "Mg", "Mg", "Fe", "Fe", "P", "P", "P", "P", "O", "O", "O", "O", "O", "O", "O", "O", "O", "O", "O", "O", "O", "O", "O", "O"],
  "frac_coords": [[0.2328, 0.2063, 0.4437], [0.7672, 0.7937, 0.5563], [0.4989, 0.5798, 0.8504], [0.5011, 0.4202, 0.1496], [0.1043, 0.8800, 0.0510], [0.8957, 0.1200, 0.9490], [0.1112, 0.5790, 0.2612], [0.3544, 0.0290, 0.7971], [0.6456, 0.9710, 0.2029], [0.8888, 0.4210, 0.7388], [0.1157, 0.4081, 0.0986], [0.1255, 0.9355, 0.8477], [0.1399, 0.4762, 0.6992], [0.1514, 0.8129, 0.2564], [0.2612, 0.9948, 0.6229], [0.3451, 0.5558, 0.3772], [0.4428, 0.1115, 0.1757], [0.4733, 0.2764, 0.9099], [0.5267, 0.7236, 0.0901], [0.5572, 0.8885, 0.8243], [0.6549, 0.4442, 0.6228], [0.7388, 0.0052, 0.3771], [0.8486, 0.1871, 0.7436], [0.8601, 0.5238, 0.3008], [0.8745, 0.0645, 0.1523], [0.8843, 0.5919, 0.9014]],
  "volume_a3_per_atom": 11.667,
  "raw_formation_energy_ev_per_fu": -35.395,
  "space_group": "P-1"
}


No. 5
{
  "formula": "ZnRu2",
  "functional": "meta-GGA SCAN",
  "state": "PBEsol geometry",
  "cell": [[9.6585, 0.0000, 0.0000], [0.0000, 2.7249, 0.0000], [-1.6320, 0.0000, 6.0501]],
  "species": ["Zn", "Zn", "Zn", "Zn", "Ru", "Ru", "Ru", "Ru", "Ru", "Ru", "Ru", "Ru"],
  "frac_coords": [[0.1952, 0.0000, 0.1349], [0.3048, 0.5000, 0.8651], [0.6952, 0.5000, 0.1349], [0.8048, 0.0000, 0.8651], [0.0240, 0.5000, 0.7985], [0.1349, 0.0000, 0.5247], [0.3651, 0.5000, 0.4753], [0.4760, 0.0000, 0.2015], [0.5240, 0.0000, 0.7985], [0.6349, 0.5000, 0.5247], [0.8651, 0.0000, 0.4753], [0.9760, 0.5000, 0.2015]],
  "volume_a3_per_atom": 13.269,
  "formation_enthalpy_0k_ev_per_atom": 0.0274,
  "space_group": "C2/m"
}


No. 6
{
  "formula": "In2CoRu",
  "functional": "meta-GGA SCAN",
  "state": "PBEsol geometry",
  "cell": [[3.2004, 0.0000, 0.0000], [0.0000, 4.8339, 0.0000], [0.0000, 0.0000, 8.3293]],
  "species": ["In", "In", "In", "In", "Co", "Co", "Ru", "Ru"],
  "frac_coords": [[0.0000, 0.0000, 0.2409], [0.0000, 0.0000, 0.7591], [0.5000, 0.5000, 0.2409], [0.5000, 0.5000, 0.7591], [0.0000, 0.5000, 0.0000], [0.5000, 0.0000, 0.0000], [0.0000, 0.5000, 0.5000], [0.5000, 0.0000, 0.5000]],
  "volume_a3_per_atom": 16.107,
  "formation_enthalpy_0k_ev_per_atom": 0.4063,
  "space_group": "Cmmm"
}


No. 7
{
  "formula": "KLiB2",
  "functional": "meta-GGA SCAN",
  "state": "PBEsol geometry",
  "cell": [[3.5291, 0.0000, 0.0000], [0.0000, 3.5291, 0.0000], [0.0000, 0.0000, 17.4357]],
  "species": ["K", "K", "K", "K", "Li", "Li", "Li", "Li", "B", "B", "B", "B", "B", "B", "B", "B"],
  "frac_coords": [[0.0000, 0.2500, 0.3750], [0.0000, 0.7500, 0.6250], [0.5000, 0.2500, 0.1250], [0.5000, 0.7500, 0.8750], [0.0000, 0.2500, 0.8750], [0.0000, 0.7500, 0.1250], [0.5000, 0.2500, 0.6250], [0.5000, 0.7500, 0.3750], [0.0000, 0.0000, 0.0000], [0.0000, 0.5000, 0.0000], [0.2500, 0.2500, 0.7500], [0.2500, 0.7500, 0.2500], [0.5000, 0.0000, 0.5000], [0.5000, 0.5000, 0.5000], [0.7500, 0.2500, 0.7500], [0.7500, 0.7500, 0.2500]],
  "volume_a3_per_atom": 13.572,
  "formation_enthalpy_0k_ev_per_atom": 0.7630,
  "space_group": "I4_1/amd"
}


No. 8
{
  "formula": "Sb3SeF",
  "functional": "meta-GGA SCAN",
  "state": "PBEsol geometry",
  "cell": [[4.8771, 0.0000, 0.0000], [0.0000, 4.8771, 0.0000], [0.0000, 0.0000, 4.8771]],
  "species": ["Sb", "Sb", "Sb", "Se", "F"],
  "frac_coords": [[0.0000, 0.0000, 0.5000], [0.0000, 0.5000, 0.0000], [0.5000, 0.0000, 0.0000], [0.5000, 0.5000, 0.5000], [0.0000, 0.0000, 0.0000]],
  "volume_a3_per_atom": 23.202,
  "raw_formation_energy_ev_per_fu": 1.213,
  "space_group": "Pm-3m"
}